A plane-wave DFT calculation with PBE-GGA was carried out for an optimized crystal structure of Tl2VSb.

Results
Total magnetic moment in μB per formula unit: 2.02
Space group: No. 122
Total DFT energy (no corrections) in eV/atom: -4.092
Relative energy among the computed polymorphs in meV per atom: 0.0
Uncorrected formation energy in kJ/mol of atoms: 38.7

Cell: 8.048 8.048 8.048 Å, 95.81 95.81 142.89°
Sites, in units of the cell vectors:
Tl: 0.375 0.124 0.248
Tl: 0.874 0.625 0.748
Tl: 0.875 0.126 0.752
Tl: 0.876 0.125 0.252
V: 0.000 0.000 0.000
V: 0.750 0.250 0.500
Sb: 0.250 0.750 0.500
Sb: 0.500 0.500 0.000